Record 1
Here is a relaxed structure of Tb2DyCu from the Alexandria database. Energies are from PBE.

The structure belongs to space group Cmcm (No. 63); the cell edges are 4.913, 11.553 and 7.570 Å and the angles 90.00°, 90.00° and 90.00°. The inequivalent atoms are Tb at (0.000, 0.147, 0.031), Dy at (0.000, 0.456, 0.250) and Cu at (0.000, 0.299, 0.750).

Its relative energy among the computed polymorphs is 41 meV per atom.

***

Record 2
Here is a relaxed structure of Sc7Sb2C2 from the Alexandria database. Energies are from PBE.

The structure belongs to space group Imm2 (No. 44); the cell edges are 3.351, 13.912 and 9.193 Å and the angles 90.00°, 90.00° and 90.00°. The inequivalent atoms are Sc at (0.000, 0.000, 0.000), Sc at (0.000, 0.147, 0.578), Sc at (0.000, 0.311, 0.384), Sc at (0.000, 0.346, 0.699), Sb at (0.000, 0.000, 0.339), Sb at (0.000, 0.500, 0.231) and C at (0.000, 0.234, 0.065).

The calculation puts the uncorrected formation energy at -0.42 eV per atom.

***

Record 3
Here is a relaxed structure of TbZn2SiPd4 from the Alexandria database. Energies are from PBE.

The structure belongs to space group R-3m (No. 166, hexagonal axes); the cell edges are 4.5151, 4.5151 and 22.0371 Å and the angles 90.00°, 90.00° and 120.00°. The inequivalent atoms are Tb at (0.0000, 0.0000, 0.0000), Zn at (0.0000, 0.0000, 0.2557), Si at (0.0000, 0.0000, 0.5000), Pd at (0.0000, 0.0000, 0.1350) and Pd at (0.0000, 0.0000, 0.3929).

The calculation puts the uncorrected formation energy at -0.62 eV per atom.

***

Record 4
Here is a relaxed structure of La2MgZn from the Alexandria database. Energies are from PBE.

The structure belongs to space group I-4m2 (No. 119); the cell edges are 4.657, 4.657 and 10.307 Å and the angles 90.00°, 90.00° and 90.00°. The inequivalent atoms are La at (0.000, 0.000, 0.000), La at (0.000, 0.500, 0.250), Mg at (0.000, 0.500, 0.750) and Zn at (0.000, 0.000, 0.500).

Its relative energy among the computed polymorphs is 135 meV per atom.

***

Record 5
Here is a relaxed structure of Re2TcHgOs from the Alexandria database. Energies are from PBE.

The structure belongs to space group P4/mmm (No. 123); the cell edges are 4.604, 4.604 and 4.978 Å and the angles 90.00°, 90.00° and 90.00°. The inequivalent atoms are Re at (0.000, 0.500, 0.000), Tc at (0.000, 0.000, 0.000), Hg at (0.000, 0.000, 0.500) and Os at (0.500, 0.500, 0.500).

For the total energy, the calculation gives -6.8342 eV per atom.

***

Record 6
Here is a relaxed structure of TaTe4P from the Alexandria database. Energies are from PBE.

The structure belongs to space group F-43m (No. 216); the cell edges are 8.612, 8.612 and 8.612 Å and the angles 90.00°, 90.00° and 90.00°. The inequivalent atoms are Ta at (0.000, 0.000, 0.000), Te at (0.125, 0.125, 0.625) and P at (0.250, 0.250, 0.250).

The calculation puts the uncorrected formation energy at 1.31 eV per atom. Its relative energy among the computed polymorphs is 1438 meV per atom.

***

Record 7
Here is a relaxed structure of PaS2Br5 from the Alexandria database. Energies are from PBE.

The structure belongs to space group P1 (No. 1); the cell edges are 5.730, 8.678 and 8.709 Å and the angles 93.50°, 108.62° and 108.52°. The inequivalent atoms are Pa at (0.000, 0.000, 0.000), S at (0.180, 0.546, 0.515), S at (0.818, 0.453, 0.488), Br at (0.170, 0.024, 0.326), Br at (0.177, 0.328, 0.036), Br at (0.500, 0.000, 0.000), Br at (0.824, 0.672, 0.964) and Br at (0.830, 0.976, 0.674).

The calculation puts the uncorrected formation energy at -0.91 eV per atom.

***

Record 8
Here is a relaxed structure of CaAlAu2 from the Alexandria database. Energies are from PBE.

The structure belongs to space group Pnma (No. 62); the cell edges are 7.594, 7.193 and 6.108 Å and the angles 90.00°, 90.00° and 90.00°. The inequivalent atoms are Ca at (0.022, 0.250, 0.152), Al at (0.125, 0.750, 0.353) and Au at (0.182, 0.051, 0.581).

For the total energy, the calculation gives -3.7679 eV per atom.

***

| no. | V (Å³ per atom) |
| --- | --- |
| 1 | 26.852 |
| 2 | 19.483 |
| 3 | 16.211 |
| 4 | 27.943 |
| 5 | 21.105 |
| 6 | 26.613 |
| 7 | 47.839 |
| 8 | 20.855 |